TbPm5Nd3: optimized geometry, PBE.

Calculated values
density of states at the Fermi level	1.576	states/eV per atom
ΔE to the lowest computed polymorph	0	meV per atom
E	-4.612	eV per atom
E_form	131	meV/atom

Cell: 17.9883 9.4987 7.3214 Å, 90.00 90.00 90.00°
Space group Cmcm (No. 63)
One atom of each set of equivalent atoms:
Tb: 0.0000 0.1757 0.2500 x4
Pm: 0.0000 0.1849 0.7500 x4
Pm: 0.1620 0.1768 0.9997 x16
Nd: 0.0000 0.5000 0.0000 x4
Nd: 0.1835 0.5004 0.2500 x8